Below is MoPdSN2 after structural relaxation, with properties calculated at the PBE-GGA level.

POSCAR file:
```
MoPdSN2
1.0
3.941 0.000 0.000
0.000 3.941 0.000
0.000 0.000 4.809
N Mo S Pd
2 1 1 1
Direct
0.000 0.500 0.000
0.500 0.000 0.000
0.500 0.500 0.500
0.000 0.000 0.500
0.000 0.000 0.000
```

E above lowest polymorph: 1048 meV/atom
space-group type: P4/mmm, No. 123
formation energy without anion corrections: 1605 meV per atom

***

Below is Te2MoPdN after structural relaxation, with properties calculated at the PBE-GGA level.

POSCAR file:
```
Te2MoPdN
1.0
-1.007 -5.041 -1.630
0.548 -1.749 5.071
-3.675 0.545 0.585
Mo N Te Pd
1 1 2 1
Direct
0.000 0.000 0.000
0.000 0.000 0.500
0.500 0.000 0.000
0.000 0.500 0.000
0.500 0.500 0.500
```

E above lowest polymorph: 0 meV/atom
space-group type: P4/mmm, No. 123
formation energy without anion corrections: 382 meV per atom

***

Below is Te2MoPdN after structural relaxation, with properties calculated at the PBE-GGA level.

POSCAR file:
```
Te2MoPdN
1.0
-3.024 1.891 -4.146
-1.172 -5.132 -1.485
-2.978 0.046 2.193
Pd Te N Mo
1 2 1 1
Direct
0.000 0.000 0.000
0.000 0.500 0.000
0.500 0.000 0.000
0.000 0.000 0.500
0.500 0.500 0.500
```

E above lowest polymorph: 649 meV/atom
space-group type: P4/mmm, No. 123
formation energy without anion corrections: 1031 meV per atom

***

Below is Tl2MoPdN after structural relaxation, with properties calculated at the PBE-GGA level.

POSCAR file:
```
Tl2MoPdN
1.0
5.647 0.000 0.000
0.000 3.668 0.000
0.000 0.000 5.647
Pd Mo Tl N
1 1 2 1
Direct
0.000 0.000 0.000
0.500 0.500 0.500
0.000 0.000 0.500
0.500 0.000 0.000
0.000 0.500 0.000
```

space-group type: P4/mmm, No. 123
formation energy without anion corrections: 1220 meV per atom

***

Below is V2MoPdN after structural relaxation, with properties calculated at the PBE-GGA level.

POSCAR file:
```
V2MoPdN
1.0
3.966 0.000 0.000
0.000 3.966 0.000
0.000 0.000 4.083
Mo Pd V N
1 1 2 1
Direct
0.000 0.000 0.500
0.500 0.500 0.500
0.500 0.000 0.000
0.000 0.500 0.000
0.000 0.000 0.000
```

space-group type: P4/mmm, No. 123
formation energy without anion corrections: -442 meV per atom

***

Below is VMo2PdN after structural relaxation, with properties calculated at the PBE-GGA level.

POSCAR file:
```
VMo2PdN
1.0
-3.040 -1.239 2.472
2.461 -2.888 1.580
1.216 2.553 2.774
Pd Mo N V
1 2 1 1
Direct
0.500 0.500 0.500
0.000 0.500 0.000
0.500 0.000 0.000
0.000 0.000 0.000
0.000 0.000 0.500
```

space-group type: P4/mmm, No. 123
formation energy without anion corrections: -289 meV per atom

***

Below is Mo2PdWN after structural relaxation, with properties calculated at the PBE-GGA level.

POSCAR file:
```
Mo2PdWN
1.0
-1.565 3.192 -2.084
-3.812 -1.294 0.880
0.027 2.253 3.430
Mo W N Pd
2 1 1 1
Direct
0.000 0.500 0.000
0.500 0.000 0.000
0.000 0.000 0.500
0.000 0.000 0.000
0.500 0.500 0.500
```

space-group type: P4/mmm, No. 123
formation energy without anion corrections: -90 meV per atom

***

Below is MoPdW2N after structural relaxation, with properties calculated at the PBE-GGA level.

POSCAR file:
```
MoPdW2N
1.0
-0.225 -3.857 -1.411
3.373 0.633 -2.267
2.352 -1.286 3.140
Pd Mo N W
1 1 1 2
Direct
0.500 0.500 0.500
0.000 0.000 0.500
0.000 0.000 0.000
0.000 0.500 0.000
0.500 0.000 0.000
```

space-group type: P4/mmm, No. 123
formation energy without anion corrections: -32 meV per atom

***

Below is Y2MoPdN after structural relaxation, with properties calculated at the PBE-GGA level.

POSCAR file:
```
Y2MoPdN
1.0
4.878 0.000 0.000
0.000 4.878 0.000
0.000 0.000 3.955
Pd Y N Mo
1 2 1 1
Direct
0.500 0.500 0.500
0.000 0.500 0.000
0.500 0.000 0.000
0.000 0.000 0.000
0.000 0.000 0.500
```

space-group type: P4/mmm, No. 123
formation energy without anion corrections: -732 meV per atom

***

Below is Pm3Mo5N12 after structural relaxation, with properties calculated at the PBE-GGA level.

POSCAR file:
```
Pm3Mo5N12
1.0
-5.852 -7.157 6.335
10.962 -1.786 1.499
-2.510 10.516 2.953
N Mo Pm
48 20 12
Direct
0.885 0.582 0.901
0.885 0.303 0.484
0.303 0.418 0.818
0.984 0.599 0.182
0.615 0.016 0.197
0.582 0.697 0.682
0.303 0.885 0.984
0.803 0.484 0.385
0.385 0.984 0.803
0.697 0.582 0.182
0.418 0.303 0.318
0.401 0.385 0.582
0.115 0.697 0.516
0.682 0.484 0.599
0.197 0.682 0.082
0.901 0.082 0.885
0.615 0.599 0.918
0.516 0.197 0.115
0.115 0.418 0.099
0.099 0.182 0.484
0.901 0.818 0.516
0.318 0.803 0.418
0.385 0.401 0.082
0.418 0.115 0.599
0.318 0.516 0.401
0.697 0.115 0.016
0.099 0.918 0.115
0.984 0.385 0.303
0.918 0.099 0.615
0.599 0.615 0.418
0.182 0.099 0.984
0.182 0.082 0.697
0.484 0.682 0.099
0.818 0.901 0.016
0.818 0.918 0.303
0.516 0.318 0.901
0.484 0.803 0.885
0.082 0.901 0.385
0.803 0.318 0.918
0.582 0.885 0.401
0.599 0.984 0.682
0.918 0.818 0.803
0.016 0.615 0.697
0.016 0.401 0.818
0.197 0.516 0.615
0.401 0.016 0.318
0.082 0.182 0.197
0.682 0.197 0.582
0.000 0.000 0.500
0.375 0.250 0.125
0.250 0.875 0.125
0.000 0.500 0.500
0.500 0.000 0.500
0.500 0.500 0.500
0.000 0.500 0.000
0.250 0.375 0.625
0.750 0.625 0.375
0.625 0.875 0.250
0.125 0.750 0.375
0.875 0.625 0.750
0.625 0.750 0.875
0.500 0.000 0.000
0.000 0.000 0.000
0.500 0.500 0.000
0.875 0.250 0.625
0.750 0.125 0.875
0.125 0.375 0.250
0.375 0.125 0.750
0.125 0.250 0.875
0.875 0.750 0.125
0.375 0.750 0.625
0.250 0.625 0.875
0.750 0.375 0.125
0.250 0.125 0.375
0.625 0.250 0.375
0.125 0.875 0.750
0.625 0.375 0.750
0.750 0.875 0.625
0.375 0.625 0.250
0.875 0.125 0.250
```

space-group type: Ia-3d, No. 230
formation energy without anion corrections: -683 meV per atom

***

Below is Pm2Mo2N7 after structural relaxation, with properties calculated at the PBE-GGA level.

POSCAR file:
```
Pm2Mo2N7
1.0
0.087 -6.083 0.186
1.589 -0.754 -4.081
6.390 -0.906 0.616
N Pm Mo
7 2 2
Direct
0.268 0.414 0.640
0.000 0.000 0.000
0.536 0.179 0.162
0.904 0.988 0.564
0.096 0.012 0.436
0.732 0.586 0.360
0.464 0.821 0.838
0.363 0.687 0.231
0.637 0.313 0.769
0.802 0.982 0.267
0.198 0.018 0.733
```

space-group type: P-1, No. 2
formation energy without anion corrections: -567 meV per atom

***

Below is PmMo4N6 after structural relaxation, with properties calculated at the PBE-GGA level.

POSCAR file:
```
PmMo4N6
1.0
-0.953 2.304 2.139
-0.949 -4.661 2.076
13.896 -0.050 6.242
Mo N Pm
8 12 2
Direct
0.608 0.216 0.625
0.845 0.691 0.542
0.155 0.309 0.042
0.608 0.216 0.875
0.155 0.309 0.458
0.845 0.691 0.958
0.392 0.784 0.125
0.392 0.784 0.375
0.971 0.942 0.848
0.755 0.509 0.408
0.344 0.688 0.250
0.656 0.312 0.750
0.500 0.000 0.500
0.971 0.942 0.652
0.029 0.058 0.348
0.245 0.491 0.908
0.755 0.509 0.092
0.245 0.491 0.592
0.029 0.058 0.152
0.500 0.000 0.000
0.648 0.296 0.250
0.352 0.704 0.750
```

space-group type: Cmcm, No. 63
formation energy without anion corrections: -528 meV per atom

***

Below is Pm2MoN3 after structural relaxation, with properties calculated at the PBE-GGA level.

POSCAR file:
```
Pm2MoN3
1.0
-1.514 -0.679 3.062
2.012 -3.414 0.238
4.533 5.077 1.387
Mo N Pm
1 3 2
Direct
0.000 0.000 0.000
0.160 0.160 0.320
0.840 0.840 0.680
0.000 0.500 0.000
0.351 0.351 0.702
0.649 0.649 0.298
```

space-group type: Immm, No. 71
formation energy without anion corrections: -1095 meV per atom

***

Below is Pm2MoN4 after structural relaxation, with properties calculated at the PBE-GGA level.

POSCAR file:
```
Pm2MoN4
1.0
6.060 0.046 -1.504
-3.157 5.172 -1.504
-0.049 -0.088 7.233
Mo N Pm
2 8 4
Direct
0.875 0.125 0.250
0.125 0.875 0.750
0.243 0.224 0.897
0.327 0.846 0.603
0.673 0.154 0.397
0.154 0.673 0.897
0.757 0.776 0.103
0.846 0.327 0.103
0.776 0.757 0.603
0.224 0.243 0.397
0.433 0.567 0.750
0.817 0.183 0.750
0.183 0.817 0.250
0.567 0.433 0.250
```

E above lowest polymorph: 0 meV/atom
space-group type: Fddd, No. 70
formation energy without anion corrections: -1087 meV per atom

***

Below is PmMoN after structural relaxation, with properties calculated at the PBE-GGA level.

POSCAR file:
```
PmMoN
1.0
-2.905 -0.036 1.237
1.078 -2.517 -1.571
4.223 -4.303 9.793
N Pm Mo
2 2 2
Direct
0.611 0.221 0.000
0.278 0.557 0.500
0.612 0.223 0.638
0.612 0.223 0.362
0.277 0.554 0.889
0.277 0.554 0.111
```

space-group type: Amm2, No. 38
formation energy without anion corrections: 7 meV per atom

***

Below is Pm3Mo2N7 after structural relaxation, with properties calculated at the PBE-GGA level.

POSCAR file:
```
Pm3Mo2N7
1.0
-3.674 -0.963 -0.743
0.524 -3.510 1.959
-3.203 6.212 7.791
N Pm Mo
7 3 2
Direct
0.000 0.801 0.602
0.000 0.199 0.398
0.500 0.900 0.800
0.000 0.597 0.194
0.500 0.100 0.200
0.000 0.403 0.806
0.000 0.000 0.000
0.500 0.679 0.357
0.500 0.321 0.643
0.500 0.500 0.000
0.000 0.102 0.204
0.000 0.898 0.796
```

space-group type: Cmmm, No. 65
formation energy without anion corrections: -653 meV per atom

***

Below is Pm2Mo2N5 after structural relaxation, with properties calculated at the PBE-GGA level.

POSCAR file:
```
Pm2Mo2N5
1.0
3.325 0.000 1.011
0.887 6.284 3.054
-0.010 0.563 6.005
N Mo Pm
5 2 2
Direct
0.355 0.820 0.470
0.122 0.543 0.213
0.878 0.457 0.787
0.645 0.180 0.530
0.000 0.000 0.000
0.056 0.273 0.615
0.944 0.727 0.385
0.667 0.787 0.879
0.333 0.213 0.121
```

space-group type: C2/m, No. 12
formation energy without anion corrections: -879 meV per atom

***

Below is Pm2MoN4 after structural relaxation, with properties calculated at the PBE-GGA level.

POSCAR file:
```
Pm2MoN4
1.0
5.896 0.000 0.000
0.000 5.951 0.000
-2.168 0.000 6.487
Pm N Mo
4 8 2
Direct
0.238 0.250 0.440
0.321 0.250 0.972
0.762 0.750 0.560
0.679 0.750 0.028
0.454 0.509 0.253
0.546 0.491 0.747
0.975 0.250 0.651
0.454 0.991 0.253
0.952 0.250 0.081
0.048 0.750 0.919
0.025 0.750 0.349
0.546 0.009 0.747
0.768 0.250 0.807
0.232 0.750 0.193
```

E above lowest polymorph: 88 meV/atom
space-group type: P2_1/m, No. 11
formation energy without anion corrections: -999 meV per atom

***

Below is PmPr2MoN4 after structural relaxation, with properties calculated at the PBE-GGA level.

POSCAR file:
```
PmPr2MoN4
1.0
3.507 0.000 0.000
-1.753 6.048 0.000
0.000 0.000 12.461
N Mo Pm Pr
8 2 2 4
Direct
0.000 0.000 0.000
0.730 0.460 0.866
0.270 0.540 0.134
0.000 0.000 0.500
0.564 0.128 0.250
0.270 0.540 0.366
0.436 0.872 0.750
0.730 0.460 0.634
0.168 0.336 0.250
0.832 0.664 0.750
0.092 0.185 0.750
0.908 0.815 0.250
0.632 0.263 0.460
0.368 0.737 0.540
0.368 0.737 0.960
0.632 0.263 0.040
```

space-group type: Cmcm, No. 63
formation energy without anion corrections: -914 meV per atom

***

Below is PmPu2MoN4 after structural relaxation, with properties calculated at the PBE-GGA level.

POSCAR file:
```
PmPu2MoN4
1.0
3.415 0.000 0.000
-1.708 5.891 0.000
0.000 0.000 11.704
N Pm Mo Pu
8 2 2 4
Direct
0.264 0.529 0.379
0.545 0.090 0.250
0.000 0.000 0.500
0.264 0.529 0.121
0.455 0.910 0.750
0.736 0.471 0.621
0.736 0.471 0.879
0.000 0.000 0.000
0.890 0.780 0.250
0.110 0.220 0.750
0.151 0.302 0.250
0.849 0.698 0.750
0.369 0.738 0.955
0.631 0.262 0.455
0.631 0.262 0.045
0.369 0.738 0.545
```

space-group type: Cmcm, No. 63
formation energy without anion corrections: -973 meV per atom